Record 1
A plane-wave DFT calculation with PBE was carried out for an optimized crystal structure of RbFeH2Cl8.

Computed properties:
- total DFT energy (no corrections) (eV per atom) = -3.29

abc: 6.6758 6.7569 8.5252
angles: 82.68 80.46 61.32
Closest atoms and distances in Å follow each position.
Space group P-1 (No. 2)
Unique sites:
Rb 0.0000 0.0000 0.0000 [1 per cell]  8 Cl 3.47-3.87, 2 H 3.62
Fe 0.0000 0.0000 0.5000 [1 per cell]  6 Cl 2.22-2.30
H 0.1875 0.3256 0.1856 [2 per cell]  1 Cl 1.32
Cl 0.0995 0.6842 0.6711 [2 per cell]  1 H 2.12, 1 Fe 2.30
Cl 0.2102 0.0997 0.6151 [2 per cell]  1 Fe 2.22
Cl 0.3054 0.8051 0.3294 [2 per cell]  1 Fe 2.22
Cl 0.3235 0.3485 0.0610 [2 per cell]  1 H 1.32

=====

Record 2
A plane-wave DFT calculation with PBE was carried out for an optimized crystal structure of BaLaPtI2.

Computed properties:
- E_form (uncorrected) (eV/atom) = -0.93

abc: 6.2657 6.2657 5.3370
angles: 90.00 90.00 90.00
Closest atoms and distances in Å follow each position.
Space group P4/mmm (No. 123)
Unique sites:
Ba 0.0000 0.0000 0.0000 [1 per cell]  8 I 4.12, 4 Pt 4.43
La 0.5000 0.5000 0.5000 [1 per cell]  2 Pt 2.67
Pt 0.5000 0.5000 0.0000 [1 per cell]  2 La 2.67
I 0.0000 0.5000 0.5000 [2 per cell]  2 La 3.13

=====

Record 3
A plane-wave DFT calculation with PBE was carried out for an optimized crystal structure of Cs3YNp3S8.

Computed properties:
- E_form (uncorrected) (eV/atom) = -1.51

abc: 8.1628 8.1628 24.4837
angles: 90.00 90.00 120.00
Closest atoms and distances in Å follow each position.
Space group R-3m (No. 166, hexagonal axes)
Unique sites:
Cs 0.0000 0.5000 0.0000 [9 per cell]  6 S 3.54
Y 0.0000 0.0000 0.5000 [3 per cell]  6 S 2.77
Np 0.0000 0.5000 0.5000 [9 per cell]  6 S 2.76
S 0.0000 0.0000 0.2256 [6 per cell]  3 Np 2.76
S 0.0017 0.5008 0.7744 [18 per cell]  2 Np 2.76, 1 Y 2.77

=====

Record 4
A plane-wave DFT calculation with PBE was carried out for an optimized crystal structure of AlRh.

Computed properties:
- ΔH_f (0 K) (eV/atom) = -0.39

abc: 2.8587 2.8587 25.1046
angles: 90.00 90.00 120.00
Closest atoms and distances in Å follow each position.
Space group R-3m (No. 166, hexagonal axes)
Unique sites:
Al 0.0000 0.0000 0.1203 [6 per cell]  3 Rh 2.50
Rh 0.0000 0.0000 0.3789 [6 per cell]  3 Al 2.50

=====

no.,DOS at the Fermi energy (states/eV per atom),size of the total moment (μB per formula unit)
1,0.0602,3.072
2,0.6101,0.000
3,1.8245,11.000
4,1.2240,0.001